This record from the Alexandria database describes a geometry-optimized SrPtI2 structure. The functional is GGA-PBE.

Cell lengths 5.4889, 5.4889, 5.4889 Å; angles 60.00, 60.00, 60.00 degrees
Atoms (fractional coordinates):
Sr: 0.0000 0.0000 0.0000
I: 0.2500 0.2500 0.2500
I: 0.7500 0.7500 0.7500
Pt: 0.5000 0.5000 0.5000

Values from the calculation:
The magnetic moment comes out at 0.0000 μB/atom. The electronic total energy is -12.48 eV/f.u. The calculation puts the uncorrected formation energy at -415 meV/atom. The energy above the most stable polymorph in this dataset comes out at 147 meV per atom.